No. 1
{
  "formula": "Mg2ReRu",
  "functional": "PBE",
  "state": "relaxed",
  "total_magnetization_mub_per_cell": 0.00,
  "total_energy_ry_per_atom": -0.4351,
  "e_above_lowest_polymorph_mev_per_atom": 297,
  "formation_energy_ev_per_fu": 1.24,
  "lattice_angstrom": [[-4.0282, -2.9348, -1.1673], [1.1349, 0.7428, 4.9358], [-1.6334, 2.2257, 0.0406]],
  "species": ["Mg", "Mg", "Re", "Ru"],
  "frac_coords": [[0.0000, 0.0000, 0.0000], [0.5000, 0.5000, 0.0000], [0.5000, 0.0000, 0.5000], [0.0000, 0.5000, 0.5000]]
}

---

No. 2
{
  "formula": "BaBiRh",
  "functional": "PBE",
  "state": "relaxed",
  "total_magnetization_mub_per_cell": 0.00,
  "total_energy_ry_per_atom": -0.3649,
  "formation_energy_ev_per_fu": -1.74,
  "lattice_angstrom": [[4.7492, 0.0000, 0.0000], [-2.3746, 6.5358, 0.0541], [0.0000, -1.5861, 5.9611]],
  "species": ["Rh", "Rh", "Ba", "Ba", "Bi", "Bi"],
  "frac_coords": [[0.7092, 0.4185, 0.3676], [0.2908, 0.5815, 0.6324], [0.6218, 0.2436, 0.8053], [0.3782, 0.7564, 0.1947], [0.8933, 0.7867, 0.7011], [0.1067, 0.2133, 0.2989]]
}

---

No. 3
{
  "formula": "Ag4Se",
  "functional": "PBE",
  "state": "relaxed",
  "total_magnetization_mub_per_cell": 0.00,
  "total_energy_ry_per_atom": -0.2168,
  "raw_formation_energy_ev_per_atom": 0.03,
  "e_above_lowest_polymorph_mev_per_atom": 0,
  "lattice_angstrom": [[5.1888, 0.0026, 0.0000], [-3.5260, 3.8066, 0.0000], [-0.8314, -1.9046, 4.7544]],
  "species": ["Ag", "Ag", "Ag", "Ag", "Se"],
  "frac_coords": [[0.8050, 0.4018, 0.2069], [0.4018, 0.1950, 0.5968], [0.1950, 0.5982, 0.7931], [0.5982, 0.8050, 0.4032], [0.0000, 0.0000, 0.0000]]
}

---

No. 4
{
  "formula": "SrH3Pt",
  "functional": "PBE",
  "state": "relaxed",
  "total_magnetization_mub_per_cell": 0.00,
  "total_energy_ry_per_atom": -0.3018,
  "lattice_angstrom": [[-15.3544, -7.0595, 1.1644], [1.9517, -4.0889, 0.9458], [4.5410, 2.8357, 2.8892]],
  "species": ["Sr", "Sr", "Sr", "Sr", "Pt", "Pt", "Pt", "Pt", "H", "H", "H", "H", "H", "H", "H", "H", "H", "H", "H", "H"],
  "frac_coords": [[0.1803, 0.2318, 0.8141], [0.8197, 0.7682, 0.1859], [0.3197, 0.7318, 0.6859], [0.6803, 0.2682, 0.3141], [0.4607, 0.7330, 0.5418], [0.5393, 0.2670, 0.4582], [0.0393, 0.2330, 0.9582], [0.9607, 0.7670, 0.0418], [0.3732, 0.2508, 0.9738], [0.6268, 0.7492, 0.0262], [0.1268, 0.7508, 0.5262], [0.8732, 0.2492, 0.4738], [0.2943, 0.7118, 0.0595], [0.7057, 0.2882, 0.9405], [0.2057, 0.2118, 0.4405], [0.7943, 0.7882, 0.5595], [0.4139, 0.0197, 0.5878], [0.5861, 0.9803, 0.4122], [0.0861, 0.5197, 0.9122], [0.9139, 0.4803, 0.0878]]
}

---

> What is the formula in the fourth record?

SrH3Pt